# 1
A plane-wave DFT calculation with PBE was carried out for crystalline Be2AgTe at its relaxed geometry.

a = 3.392 Å, b = 3.392 Å, c = 6.417 Å
α = 90.00°, β = 90.00°, γ = 90.00°
Space group P4mm (No. 99)
Inequivalent atoms, fractional coordinates:
Be 0.000 0.000 0.000 [1 per cell]
Be 0.500 0.500 0.231 [1 per cell]
Ag 0.500 0.500 0.867 [1 per cell]
Te 0.000 0.000 0.382 [1 per cell]

crystal system	tetragonal
E_form (uncorrected)	0.4055	eV per atom

---

# 2
A plane-wave DFT calculation with PBE was carried out for crystalline Sm4CoCu at its relaxed geometry.

a = 9.302 Å, b = 9.302 Å, c = 8.322 Å
α = 90.00°, β = 90.00°, γ = 90.00°
Space group I4_1md (No. 109)
Inequivalent atoms, fractional coordinates:
Sm 0.000 0.196 0.000 [8 per cell]
Sm 0.000 0.200 0.468 [8 per cell]
Co 0.000 0.000 0.234 [4 per cell]
Cu 0.000 0.000 0.736 [4 per cell]

crystal system	tetragonal
offset from the most stable computed form	0.71	eV per formula unit

---

Number 1: uncorrected energy -2.9558 eV per atom. Number 2: uncorrected energy -4.9745 eV per atom.